This record from the Alexandria database describes Dy3TmIr after structural relaxation. The functional is PBE-GGA.

Calculated values
Uncorrected energy = -5.763 eV/atom
DFT formation energy = -0.33 eV/atom
Space group = No. 31

Lattice parameters (Å, degrees): 7.605 6.504 6.143 90.00 90.00 90.00
Element x y z (fractional)
1 Dy 0.000 0.153 0.000
2 Dy 0.250 0.311 0.502
3 Dy 0.250 0.689 0.002
4 Dy 0.500 0.847 0.500
5 Dy 0.750 0.311 0.502
6 Dy 0.750 0.689 0.002
7 Tm 0.000 0.846 0.506
8 Tm 0.500 0.154 0.006
9 Ir 0.000 0.503 0.254
10 Ir 0.500 0.497 0.754